# 1
RbTmO3 | PBE | optimized geometry

Properties
total DFT energy (no corrections): -5.857 eV per atom

```
RbTmO3
1.0
-3.777 -1.790 -4.104
-3.843 -1.382 4.140
-4.275 10.264 -0.542
O Rb Tm
12 4 4
Cartesian
-4.434 -0.162 -2.089
-6.382 -0.866 -0.048
-3.005 1.763 -0.070
-4.948 1.062 1.977
-5.301 1.918 -2.199
-7.249 1.214 -0.158
-4.647 5.878 -0.348
-6.595 5.174 1.693
-6.948 6.030 -2.482
-8.891 5.328 -0.436
-5.513 7.958 -0.457
-7.461 7.254 1.584
-1.889 -0.895 -2.052
-1.921 -0.691 2.070
-4.026 4.237 -2.323
-4.059 4.441 1.799
-4.719 0.839 -4.040
-5.062 0.896 -0.255
-6.833 6.195 -0.250
-7.176 6.252 3.535
```

# 2
RbTmO3 | PBE | optimized geometry

Properties
total DFT energy (no corrections): -5.982 eV per atom

```
RbTmO3
1.0
3.122 -1.803 -5.044
-3.122 -1.803 -5.044
0.000 3.605 -5.044
O Rb Tm
6 2 2
Cartesian
-1.558 -0.907 -6.306
0.006 -1.803 -8.828
1.564 -0.896 -6.306
-1.564 0.896 -8.828
-0.006 1.803 -6.306
1.558 0.907 -8.828
0.000 0.000 -3.783
0.000 0.000 -11.350
0.000 0.000 0.000
0.000 0.000 -7.567
```

# 3
RbTm2O4 | PBE | optimized geometry

Properties
total DFT energy (no corrections): -6.954 eV per atom

```
RbTm2O4
1.0
0.434 0.738 -6.946
5.748 0.602 3.948
-3.020 -6.256 -0.852
O Rb Tm
8 2 4
Cartesian
0.198 -1.941 -3.719
3.479 -1.874 1.425
3.652 -1.580 -1.347
0.431 -2.528 -0.241
-1.007 -4.438 -4.059
1.520 -4.784 0.995
-0.774 -5.025 -0.581
1.692 -4.490 -1.778
0.000 0.000 0.000
2.444 -0.709 -3.449
4.096 -0.054 0.250
2.586 -3.182 -0.176
-0.288 -3.483 -2.150
-0.071 -3.114 -5.623
```

> What is the formula in the second record?

RbTmO3